Here is a relaxed structure of LiBe2Os from the Alexandria database. Energies are from PBE-GGA.

The structure in POSCAR format:
```
LiBe2Os
1.0
2.597 -0.016 0.000
-1.012 2.391 0.000
0.000 0.000 7.949
Be Li Os
2 1 1
Cartesian
0.000 0.000 7.818
0.000 0.000 4.105
0.792 1.188 1.987
0.792 1.188 5.962
```

Results
Total DFT energy (no corrections): -19.703 eV per cell
E_form: 223 meV/atom
Magnetization: 0.0 μB per formula unit

Here is a relaxed structure of LiBe2Os from the Alexandria database. Energies are from PBE-GGA.

The structure in POSCAR format:
```
LiBe2Os
1.0
8.348 0.002 0.001
7.940 2.579 0.001
7.940 1.258 2.252
Be Li Os
2 1 1
Cartesian
24.204 3.835 2.251
6.241 0.989 0.581
12.141 1.924 1.129
17.984 2.850 1.673
```

Results
Total DFT energy (no corrections): -19.602 eV per cell
E_form: 248 meV/atom
Magnetization: 0.0 μB per formula unit

Here is a relaxed structure of Li4BeOs from the Alexandria database. Energies are from PBE-GGA.

The structure in POSCAR format:
```
Li4BeOs
1.0
0.000 3.292 3.292
3.292 0.000 3.292
3.292 3.292 0.000
Li Be Os
4 1 1
Cartesian
2.475 2.475 4.109
2.475 4.109 2.475
4.109 4.109 4.109
4.109 2.475 2.475
0.000 0.000 0.000
1.646 1.646 1.646
```

Results
Total DFT energy (no corrections): -19.858 eV per cell
E_form: 459 meV/atom
Magnetization: 0.0 μB per formula unit

Here is a relaxed structure of LiBeOs2 from the Alexandria database. Energies are from PBE-GGA.

The structure in POSCAR format:
```
LiBeOs2
1.0
-0.408 -3.882 -2.523
3.821 0.021 2.647
-1.300 -1.088 1.884
Be Li Os
1 1 2
Cartesian
-0.854 -2.485 -0.319
1.261 -0.534 2.266
0.000 0.000 0.000
1.706 -1.931 0.062
```

Results
Total DFT energy (no corrections): -26.499 eV per cell
E_form: 400 meV/atom
Magnetization: 0.0 μB per formula unit

Here is a relaxed structure of LiBeOs2 from the Alexandria database. Energies are from PBE-GGA.

The structure in POSCAR format:
```
LiBeOs2
1.0
-1.809 -0.334 1.996
2.799 -0.665 2.425
0.257 4.960 1.063
Be Li Os
1 1 2
Cartesian
0.132 2.554 0.547
0.682 3.110 2.984
0.005 0.104 0.022
0.556 0.673 2.462
```

Results
Total DFT energy (no corrections): -27.351 eV per cell
E_form: 187 meV/atom
Magnetization: 0.0 μB per formula unit

Here is a relaxed structure of LiBe2Os from the Alexandria database. Energies are from PBE-GGA.

The structure in POSCAR format:
```
LiBe2Os
1.0
4.454 -0.002 0.000
2.030 3.965 0.000
-3.242 -1.981 2.325
Be Li Os
2 1 1
Cartesian
0.000 0.000 0.000
1.015 1.982 1.162
3.242 1.981 0.000
2.227 -0.001 1.162
```

Results
Total DFT energy (no corrections): -20.476 eV per cell
E_form: 30 meV/atom
Magnetization: 0.0 μB per formula unit

Here is a relaxed structure of LiBe2Os from the Alexandria database. Energies are from PBE-GGA.

The structure in POSCAR format:
```
LiBe2Os
1.0
2.694 0.000 0.000
0.000 2.694 0.000
0.000 0.000 6.177
Be Li Os
2 1 1
Cartesian
0.000 0.000 0.162
1.347 1.347 1.219
0.000 0.000 2.958
1.347 1.347 4.926
```

Results
Total DFT energy (no corrections): -19.787 eV per cell
E_form: 202 meV/atom
Magnetization: 0.0 μB per formula unit

Here is a relaxed structure of LiBeOs4 from the Alexandria database. Energies are from PBE-GGA.

The structure in POSCAR format:
```
LiBeOs4
1.0
-2.408 -4.158 -1.728
-4.318 -1.563 2.233
-4.455 0.463 -2.452
Li Be Os
1 1 4
Cartesian
0.000 0.000 0.000
-8.386 -3.944 -1.461
-5.397 -4.049 -1.594
-6.419 -1.741 -1.955
-6.351 -2.753 0.384
-4.194 -1.973 -0.731
```

Results
Total DFT energy (no corrections): -46.089 eV per cell
E_form: 745 meV/atom
Magnetization: 0.0 μB per formula unit

Here is a relaxed structure of LiBe2Os2 from the Alexandria database. Energies are from PBE-GGA.

The structure in POSCAR format:
```
LiBe2Os2
1.0
7.135 0.000 0.000
0.000 7.135 0.000
0.000 0.000 2.498
Be Os Li
4 4 2
Cartesian
1.155 4.722 1.249
4.722 5.980 1.249
5.980 2.412 1.249
2.412 1.155 1.249
2.608 6.175 0.000
6.175 4.527 0.000
4.527 0.959 0.000
0.959 2.608 0.000
0.000 0.000 0.000
3.567 3.567 0.000
```

Results
Total DFT energy (no corrections): -61.731 eV per cell
E_form: 192 meV/atom
Magnetization: 0.0 μB per formula unit

Here is a relaxed structure of LiBeOs from the Alexandria database. Energies are from PBE-GGA.

The structure in POSCAR format:
```
LiBeOs
1.0
6.715 0.001 0.000
6.000 2.497 -0.023
0.715 -0.918 2.321
Be Li Os
1 1 1
Cartesian
0.817 -0.889 2.301
4.737 0.226 1.536
8.592 1.324 0.783
```

Results
Total DFT energy (no corrections): -16.226 eV per cell
E_form: 215 meV/atom
Magnetization: 0.0 μB per formula unit

Here is a relaxed structure of LiBeOs2 from the Alexandria database. Energies are from PBE-GGA.

The structure in POSCAR format:
```
LiBeOs2
1.0
-5.165 -0.402 0.754
-4.600 -2.272 -1.042
-1.155 -3.072 2.834
Be Li Os
1 1 2
Cartesian
-8.190 -4.310 1.909
-2.730 -1.437 0.636
-1.497 -3.057 2.711
-5.118 -2.888 1.396
```

Results
Total DFT energy (no corrections): -27.703 eV per cell
E_form: 99 meV/atom
Magnetization: 0.0 μB per formula unit

Here is a relaxed structure of LiBe2Os from the Alexandria database. Energies are from PBE-GGA.

The structure in POSCAR format:
```
LiBe2Os
1.0
-2.802 1.318 -4.096
0.591 -0.785 5.041
3.261 2.724 2.885
Li Be Os
1 2 1
Cartesian
0.000 0.000 0.000
0.955 0.481 1.965
2.897 1.458 5.961
1.926 0.969 3.963
```

Results
Total DFT energy (no corrections): -17.989 eV per cell
E_form: 652 meV/atom
Magnetization: 0.0 μB per formula unit

Here is a relaxed structure of LiBeOs from the Alexandria database. Energies are from PBE-GGA.

The structure in POSCAR format:
```
LiBeOs
1.0
4.940 -1.257 -0.269
-1.145 4.968 -0.269
1.281 1.252 6.174
Li Be Os
4 4 4
Cartesian
0.761 5.260 3.262
5.069 3.377 5.199
2.851 4.365 2.112
4.636 0.015 0.176
2.711 1.341 1.279
-0.132 4.262 1.275
2.042 3.306 4.366
4.899 0.397 4.361
3.226 1.548 5.596
0.980 2.564 2.509
3.774 2.096 3.131
1.541 3.100 0.044
```

Results
Total DFT energy (no corrections): -65.480 eV per cell
E_form: 167 meV/atom
Magnetization: 0.0 μB per formula unit

Here is a relaxed structure of LiBe2Os from the Alexandria database. Energies are from PBE-GGA.

The structure in POSCAR format:
```
LiBe2Os
1.0
-2.178 -3.004 1.873
2.669 -2.099 2.397
-0.736 4.083 -0.249
Be Li Os
2 1 1
Cartesian
0.000 0.000 0.000
0.246 -2.551 2.135
1.090 -0.283 2.142
-1.334 -0.736 1.880
```

Results
Total DFT energy (no corrections): -20.496 eV per cell
E_form: 25 meV/atom
Magnetization: 0.0 μB per formula unit

Here is a relaxed structure of LiBe2Os from the Alexandria database. Energies are from PBE-GGA.

The structure in POSCAR format:
```
LiBe2Os
1.0
-2.116 0.233 -1.428
0.287 -2.251 1.193
-4.040 2.906 6.459
Be Li Os
2 1 1
Cartesian
-0.015 0.011 0.024
-1.839 -0.344 1.360
-2.003 1.441 3.202
-4.033 1.234 4.867
```

Results
Total DFT energy (no corrections): -19.521 eV per cell
E_form: 269 meV/atom
Magnetization: 0.0 μB per formula unit

Here is a relaxed structure of LiBeOs2 from the Alexandria database. Energies are from PBE-GGA.

The structure in POSCAR format:
```
LiBeOs2
1.0
-1.201 2.600 2.166
2.114 -1.218 2.634
6.777 5.849 -0.289
Be Os Li
2 4 2
Cartesian
0.000 0.000 0.000
3.017 4.570 2.138
1.199 2.954 1.627
2.874 1.007 1.829
5.410 4.914 1.564
5.898 5.588 4.003
0.457 0.691 2.400
4.674 2.661 2.373
```

Results
Total DFT energy (no corrections): -51.034 eV per cell
E_form: 646 meV/atom
Magnetization: 0.0 μB per formula unit

Here is a relaxed structure of LiBeOs2 from the Alexandria database. Energies are from PBE-GGA.

The structure in POSCAR format:
```
LiBeOs2
1.0
2.769 0.000 0.000
0.000 2.769 0.000
0.000 0.000 6.484
Be Li Os
1 1 2
Cartesian
1.385 1.385 1.621
1.385 1.385 4.863
0.000 0.000 0.313
0.000 0.000 2.929
```

Results
Total DFT energy (no corrections): -27.007 eV per cell
E_form: 273 meV/atom
Magnetization: 0.0 μB per formula unit

Here is a relaxed structure of LiBeOs from the Alexandria database. Energies are from PBE-GGA.

The structure in POSCAR format:
```
LiBeOs
1.0
4.394 -0.020 0.009
2.112 3.853 -0.009
-2.806 -2.676 2.068
Be Li Os
1 1 1
Cartesian
0.034 0.020 0.000
2.185 1.287 0.000
4.288 2.526 0.000
```

Results
Total DFT energy (no corrections): -16.330 eV per cell
E_form: 180 meV/atom
Magnetization: 0.0 μB per formula unit

Here is a relaxed structure of LiBe2Os from the Alexandria database. Energies are from PBE-GGA.

The structure in POSCAR format:
```
LiBe2Os
1.0
4.200 0.007 -0.003
3.480 2.352 -0.003
0.439 0.135 4.815
Be Li Os
2 1 1
Cartesian
7.641 2.347 0.216
4.098 1.259 2.181
6.089 1.870 3.606
2.030 0.623 1.202
```

Results
Total DFT energy (no corrections): -20.123 eV per cell
E_form: 118 meV/atom
Magnetization: 0.0 μB per formula unit

Here is a relaxed structure of LiBe17Os from the Alexandria database. Energies are from PBE-GGA.

The structure in POSCAR format:
```
LiBe17Os
1.0
5.461 0.044 0.694
0.617 5.426 0.694
0.049 0.044 5.504
Li Be Os
1 17 1
Cartesian
2.102 1.892 2.365
2.309 5.457 4.748
4.051 1.724 6.186
5.893 3.848 2.849
2.139 3.848 6.186
5.669 1.724 4.748
4.445 5.457 2.849
2.442 4.537 2.747
2.169 1.953 5.057
4.768 1.953 2.747
3.713 0.879 4.176
3.999 3.600 1.744
1.263 3.600 4.176
5.789 2.802 6.512
6.069 5.463 4.133
3.393 5.463 6.512
5.510 4.960 6.199
0.601 0.541 0.676
4.129 3.717 4.645
```

Results
Total DFT energy (no corrections): -77.894 eV per cell
E_form: -74 meV/atom
Magnetization: 0.0 μB per formula unit

Here is a relaxed structure of LiBeOs2 from the Alexandria database. Energies are from PBE-GGA.

The structure in POSCAR format:
```
LiBeOs2
1.0
2.646 -0.001 0.000
-1.194 2.361 0.000
0.000 0.000 8.728
Be Li Os
1 1 2
Cartesian
0.000 0.000 4.246
0.726 1.180 6.476
0.000 0.000 0.037
0.726 1.180 2.333
```

Results
Total DFT energy (no corrections): -26.443 eV per cell
E_form: 414 meV/atom
Magnetization: 0.0 μB per formula unit

Here is a relaxed structure of LiBeOs3 from the Alexandria database. Energies are from PBE-GGA.

The structure in POSCAR format:
```
LiBeOs3
1.0
-1.389 2.880 2.591
-3.868 -1.185 -0.756
0.217 -2.691 3.107
Be Os Li
1 3 1
Cartesian
0.000 0.000 0.000
-1.934 -0.593 -0.378
0.108 -1.345 1.553
-0.695 1.440 1.296
-2.520 -0.498 2.471
```

Results
Total DFT energy (no corrections): -34.679 eV per cell
E_form: 930 meV/atom
Magnetization: 0.0 μB per formula unit

Here is a relaxed structure of LiBe2Os from the Alexandria database. Energies are from PBE-GGA.

The structure in POSCAR format:
```
LiBe2Os
1.0
-2.949 3.637 0.623
-3.227 0.954 -3.315
1.724 -3.077 3.142
Be Li Os
2 1 1
Cartesian
-6.080 4.521 -2.651
-2.235 1.486 1.175
-3.183 2.366 -1.388
-2.217 0.028 -0.726
```

Results
Total DFT energy (no corrections): -20.541 eV per cell
E_form: 14 meV/atom
Magnetization: 0.0 μB per formula unit

Here is a relaxed structure of LiBe2Os from the Alexandria database. Energies are from PBE-GGA.

The structure in POSCAR format:
```
LiBe2Os
1.0
2.501 0.000 0.000
0.000 3.880 0.000
0.000 0.000 4.681
Be Li Os
2 1 1
Cartesian
0.000 0.000 4.503
1.250 1.940 1.292
0.000 0.000 2.257
1.250 1.940 3.650
```

Results
Total DFT energy (no corrections): -19.902 eV per cell
E_form: 173 meV/atom
Magnetization: 0.0 μB per formula unit

Here is a relaxed structure of LiBeOs2Pb from the Alexandria database. Energies are from PBE-GGA.

The structure in POSCAR format:
```
LiBeOs2Pb
1.0
4.353 0.000 0.000
0.000 3.840 0.000
0.000 0.000 4.353
Pb Be Os Li
1 1 2 1
Cartesian
2.177 1.920 2.177
0.000 1.920 0.000
0.000 0.000 2.177
2.177 0.000 0.000
0.000 0.000 0.000
```

Results
Total DFT energy (no corrections): -25.500 eV per cell
E_form: 1261 meV/atom
Magnetization: 0.0 μB per formula unit

Here is a relaxed structure of LiBeOsPt2 from the Alexandria database. Energies are from PBE-GGA.

The structure in POSCAR format:
```
LiBeOsPt2
1.0
4.848 0.000 0.000
0.000 4.325 0.000
0.000 0.000 4.848
Be Os Pt Li
1 1 2 1
Cartesian
0.000 2.162 0.000
0.000 0.000 0.000
0.000 0.000 2.424
2.424 0.000 0.000
2.424 2.162 2.424
```

Results
Total DFT energy (no corrections): -25.342 eV per cell
E_form: 722 meV/atom
Magnetization: 0.0 μB per formula unit

Here is a relaxed structure of LiBeReOs from the Alexandria database. Energies are from PBE-GGA.

The structure in POSCAR format:
```
LiBeReOs
1.0
-1.351 -2.424 -3.066
1.827 -3.640 -0.715
-1.990 -3.519 0.870
Re Li Os Be
1 1 1 1
Cartesian
-0.379 -2.396 -0.728
0.000 0.000 0.000
-0.757 -4.792 -1.455
-1.136 -7.187 -2.183
```

Results
Total DFT energy (no corrections): -29.514 eV per cell
E_form: -49 meV/atom
Magnetization: 0.0 μB per formula unit

Here is a relaxed structure of LiBeOsRh2 from the Alexandria database. Energies are from PBE-GGA.

The structure in POSCAR format:
```
LiBeOsRh2
1.0
4.713 0.000 0.000
0.000 4.343 0.000
0.000 0.000 4.713
Rh Li Os Be
2 1 1 1
Cartesian
0.000 0.000 2.356
2.356 0.000 0.000
2.356 2.172 2.356
0.000 0.000 0.000
0.000 2.172 0.000
```

Results
Total DFT energy (no corrections): -27.205 eV per cell
E_form: 873 meV/atom
Magnetization: 0.0 μB per formula unit